Record 1
# Ba4Cu3PbO9

A crystal of Ba4Cu3PbO9 relaxed with PBEsol (meta-GGA SCAN, the Alexandria database).

Cell lengths 8.0540, 8.0540, 8.0540 Å; angles 90.00, 90.00, 90.00 degrees
Closest atoms and distances in Å follow each position.
Sites, in units of the cell vectors:
O 0.0000 0.0000 0.2710  1 Cu 1.84
O 0.5000 0.2290 0.5000  1 Cu 1.84
O 0.0000 0.5000 0.7500  2 Cu 2.01
O 0.5000 0.2500 0.0000  2 Cu 2.01
O 0.2290 0.5000 0.5000  1 Cu 1.84
O 0.7290 0.0000 0.0000  1 Cu 1.84
O 0.2500 0.0000 0.5000  2 Cu 2.01
O 0.7500 0.0000 0.5000  2 Cu 2.01
O 0.0000 0.2710 0.0000  1 Cu 1.84
O 0.5000 0.7710 0.5000  1 Cu 1.84
O 0.7710 0.5000 0.5000  1 Cu 1.84
O 0.0000 0.0000 0.7290  1 Cu 1.84
O 0.2710 0.0000 0.0000  1 Cu 1.84
O 0.0000 0.7290 0.0000  1 Cu 1.84
O 0.0000 0.5000 0.2500  2 Cu 2.01
O 0.5000 0.7500 0.0000  2 Cu 2.01
O 0.5000 0.5000 0.2290  1 Cu 1.84
O 0.5000 0.5000 0.7710  1 Cu 1.84
Ba 0.2500 0.2500 0.7500  9 O 2.85
Ba 0.2500 0.7500 0.2500  9 O 2.85
Ba 0.7500 0.7500 0.7500  9 O 2.85
Ba 0.2500 0.2500 0.2500  9 O 2.85
Ba 0.7500 0.7500 0.2500  9 O 2.85
Ba 0.7500 0.2500 0.7500  9 O 2.85
Ba 0.7500 0.2500 0.2500  9 O 2.85
Ba 0.2500 0.7500 0.7500  9 O 2.85
Pb 0.0000 0.0000 0.0000  6 O 2.18
Pb 0.5000 0.5000 0.5000  6 O 2.18
Cu 0.5000 0.5000 0.0000  4 O 1.84-2.01
Cu 0.0000 0.5000 0.0000  4 O 1.84-2.01
Cu 0.5000 0.0000 0.0000  4 O 1.84-2.01
Cu 0.0000 0.0000 0.5000  4 O 1.84-2.01
Cu 0.0000 0.5000 0.5000  4 O 1.84-2.01
Cu 0.5000 0.0000 0.5000  4 O 1.84-2.01

Results
SG: Pm-3n (223)
magnetization: 0.0 μB per formula unit
formation energy from raw total energies: -1.83 eV/atom
VASP energy: -733.458 eV per cell

=====

Record 2
# Ba2YCu3Pb2O8

A crystal of Ba2YCu3Pb2O8 relaxed with PBEsol (meta-GGA SCAN, the Alexandria database).

Cell lengths 3.8202, 3.8514, 16.2154 Å; angles 91.44, 90.00, 90.00 degrees
Closest atoms and distances in Å follow each position.
Sites, in units of the cell vectors:
O 0.0000 0.1241 0.3918  1 Cu 1.83
O 0.0000 0.5093 0.0874  2 Cu 1.92
O 0.5000 0.0097 0.0879  2 Cu 1.93
O 0.0000 0.4907 0.9126  2 Cu 1.92
O 0.5000 0.5302 0.2583  1 Pb 2.18
O 0.5000 0.4698 0.7417  1 Pb 2.18
O 0.0000 0.8759 0.6082  1 Cu 1.83
O 0.5000 0.9903 0.9121  2 Cu 1.93
Pb 0.5000 0.5178 0.3926  3 O 2.18-2.44
Pb 0.5000 0.4822 0.6074  3 O 2.18-2.44
Ba 0.0000 0.9746 0.7770  9 O 2.75-2.93
Ba 0.0000 0.0254 0.2230  9 O 2.75-2.93
Y 0.0000 0.0000 0.0000  8 O 2.38-2.39
Cu 0.0000 0.0000 0.5000  2 O 1.83
Cu 0.5000 0.5107 0.0971  4 O 1.92-1.93
Cu 0.5000 0.4893 0.9029  4 O 1.92-1.93

Results
SG: P2/m (10)
polymorph energy (0 for the lowest one): 0.057 eV/f.u.
magnetization: 0.0 μB per formula unit
formation energy from raw total energies: -1.89 eV/atom
VASP energy: -384.169 eV per cell

=====

Record 3
# Ba2YCu3Pb2O8

A crystal of Ba2YCu3Pb2O8 relaxed with PBEsol (meta-GGA SCAN, the Alexandria database).

Cell lengths 5.3815, 5.4539, 16.2849 Å; angles 90.00, 90.00, 90.00 degrees
Closest atoms and distances in Å follow each position.
Sites, in units of the cell vectors:
O 0.2413 0.9344 0.8899  1 Cu 1.83
O 0.7587 0.5656 0.8899  1 Cu 1.83
O 0.5000 0.7500 0.5877  2 Cu 1.92
O 0.0000 0.2500 0.5871  2 Cu 1.92
O 0.0000 0.7500 0.5877  2 Cu 1.92
O 0.0000 0.2500 0.4123  2 Cu 1.92
O 0.5000 0.2500 0.4123  2 Cu 1.92
O 0.0000 0.7500 0.4129  2 Cu 1.92
O 0.5000 0.2500 0.5871  2 Cu 1.92
O 0.2413 0.0656 0.1101  1 Cu 1.83
O 0.7502 0.0061 0.7567  1 Pb 2.19
O 0.2498 0.5061 0.2433  1 Pb 2.19
O 0.7502 0.9939 0.2433  1 Pb 2.19
O 0.2498 0.4939 0.7567  1 Pb 2.19
O 0.7587 0.4344 0.1101  1 Cu 1.83
O 0.5000 0.7500 0.4129  2 Cu 1.92
Pb 0.7533 0.0087 0.1089  2 O 2.19-2.32
Pb 0.7533 0.9913 0.8911  2 O 2.19-2.32
Pb 0.2467 0.5087 0.8911  2 O 2.19-2.32
Pb 0.2467 0.4913 0.1089  2 O 2.19-2.32
Cu 0.2500 0.5003 0.4014  4 O 1.92
Cu 0.2500 0.4997 0.5986  4 O 1.92
Cu 0.7500 0.9997 0.4014  4 O 1.92
Cu 0.7548 0.5000 0.0000  2 O 1.83
Cu 0.7500 0.0003 0.5986  4 O 1.92
Cu 0.2452 0.0000 0.0000  2 O 1.83
Ba 0.7498 0.5016 0.7230  9 O 2.74-2.93
Ba 0.2502 0.9984 0.7230  9 O 2.74-2.93
Ba 0.2502 0.0016 0.2770  9 O 2.74-2.93
Ba 0.7498 0.4984 0.2770  9 O 2.74-2.93
Y 0.7500 0.5000 0.5000  8 O 2.38-2.39
Y 0.2500 0.0000 0.5000  8 O 2.38-2.39

Results
SG: P222_1 (17)
polymorph energy (0 for the lowest one): 0.000 eV/f.u.
magnetization: 0.0 μB per formula unit
formation energy from raw total energies: -1.89 eV/atom
VASP energy: -768.453 eV per cell

=====

Record 4
# BaPrCu2O5

A crystal of BaPrCu2O5 relaxed with PBEsol (meta-GGA SCAN, the Alexandria database).

Cell lengths 3.8662, 7.7829, 11.4634 Å; angles 90.00, 90.00, 90.00 degrees
Closest atoms and distances in Å follow each position.
Sites, in units of the cell vectors:
Pr 0.5000 0.5000 0.4964  8 O 2.45-2.51
Pr 0.5000 0.5000 0.1587  8 O 2.54-2.66
Pr 0.5000 0.0000 0.4994  8 O 2.45-2.51
Ba 0.5000 0.5000 0.8277  12 O 2.80-2.99
Ba 0.5000 0.0000 0.8195  10 O 2.70-2.92
Ba 0.5000 0.0000 0.1826  10 O 2.73-2.86
O 0.0000 0.0000 0.6316  2 Cu 1.97
O 0.5000 0.7543 0.0121  2 Cu 1.94
O 0.0000 0.5000 0.3571  2 Cu 1.94
O 0.0000 0.2397 0.8383  1 Cu 1.87
O 0.0000 0.2648 0.1662  2 Cu 1.90-2.05
O 0.5000 0.2529 0.3634  2 Cu 1.95
O 0.5000 0.2499 0.6295  2 Cu 1.95
O 0.0000 0.5000 0.6290  2 Cu 1.96
O 0.0000 0.5000 0.0149  2 Cu 1.91
O 0.5000 0.7471 0.3634  2 Cu 1.95
O 0.0000 0.0000 0.3646  2 Cu 1.97
O 0.0000 0.7603 0.8383  1 Cu 1.87
O 0.0000 0.7352 0.1662  2 Cu 1.90-2.05
O 0.5000 0.2457 0.0121  2 Cu 1.94
O 0.5000 0.7501 0.6295  2 Cu 1.95
Cu 0.0000 0.7491 0.6545  5 O 1.95-2.11
Cu 0.0000 0.7449 0.0008  5 O 1.87-1.94
Cu 0.0000 0.2509 0.6545  5 O 1.95-2.11
Cu 0.0000 0.2551 0.0008  5 O 1.87-1.94
Cu 0.0000 0.2513 0.3445  5 O 1.94-2.05
Cu 0.0000 0.7487 0.3445  5 O 1.94-2.05

Results
SG: Pmm2 (25)
magnetization: 0.0 μB per formula unit
formation energy from raw total energies: -2.04 eV/atom
VASP energy: -488.443 eV per cell

=====

Record 5
# Ba2PrCu3O6

A crystal of Ba2PrCu3O6 relaxed with PBEsol (meta-GGA SCAN, the Alexandria database).

Cell lengths 3.8775, 3.8775, 11.9188 Å; angles 90.00, 90.00, 90.00 degrees
Closest atoms and distances in Å follow each position.
Sites, in units of the cell vectors:
O 0.0000 0.0000 0.8504  1 Cu 1.78
O 0.5000 0.0000 0.6299  2 Cu 1.94
O 0.0000 0.5000 0.3701  2 Cu 1.94
O 0.5000 0.0000 0.3701  2 Cu 1.94
O 0.0000 0.0000 0.1496  1 Cu 1.78
O 0.0000 0.5000 0.6299  2 Cu 1.94
Cu 0.0000 0.0000 0.0000  2 O 1.78
Cu 0.0000 0.0000 0.3584  4 O 1.94
Cu 0.0000 0.0000 0.6416  4 O 1.94
Pr 0.5000 0.5000 0.5000  8 O 2.48
Ba 0.5000 0.5000 0.8067  8 O 2.79-2.86
Ba 0.5000 0.5000 0.1933  8 O 2.79-2.86

Results
SG: P4/mmm (123)
magnetization: 0.1 μB per formula unit
formation energy from raw total energies: -2.08 eV/atom
VASP energy: -230.385 eV per cell

=====

Record 6
# Ba4PrYCu6O14

A crystal of Ba4PrYCu6O14 relaxed with PBEsol (meta-GGA SCAN, the Alexandria database).

Cell lengths 3.8293, 7.7627, 11.5688 Å; angles 90.00, 90.00, 90.00 degrees
Closest atoms and distances in Å follow each position.
Sites, in units of the cell vectors:
O 0.0000 0.5000 0.0000  2 Cu 1.94
O 0.0000 0.2493 0.8397  1 Cu 1.85
O 0.0000 0.0000 0.3784  2 Cu 1.95
O 0.5000 0.2415 0.3736  2 Cu 1.94
O 0.0000 0.7507 0.1603  1 Cu 1.85
O 0.0000 0.0000 0.0000  2 Cu 1.94
O 0.0000 0.5000 0.6325  2 Cu 1.97
O 0.5000 0.7585 0.3736  2 Cu 1.94
O 0.5000 0.7585 0.6264  2 Cu 1.94
O 0.0000 0.2493 0.1603  1 Cu 1.85
O 0.0000 0.5000 0.3675  2 Cu 1.97
O 0.5000 0.2415 0.6264  2 Cu 1.94
O 0.0000 0.0000 0.6216  2 Cu 1.95
O 0.0000 0.7507 0.8397  1 Cu 1.85
Cu 0.0000 0.7527 0.3483  4 O 1.94-1.97
Cu 0.0000 0.2473 0.3483  4 O 1.94-1.97
Cu 0.0000 0.7527 0.6517  4 O 1.94-1.97
Cu 0.0000 0.7504 0.0000  4 O 1.85-1.94
Cu 0.0000 0.2496 0.0000  4 O 1.85-1.94
Cu 0.0000 0.2473 0.6517  4 O 1.94-1.97
Ba 0.5000 0.0000 0.1813  10 O 2.73-2.98
Ba 0.5000 0.5000 0.1798  10 O 2.74-3.01
Ba 0.5000 0.0000 0.8187  10 O 2.73-2.98
Ba 0.5000 0.5000 0.8202  10 O 2.74-3.01
Y 0.5000 0.0000 0.5000  8 O 2.38
Pr 0.5000 0.5000 0.5000  8 O 2.45-2.48

Results
SG: Pmmm (47)
magnetization: 0.0 μB per formula unit
formation energy from raw total energies: -2.04 eV/atom
VASP energy: -460.875 eV per cell